Material: Mg2SnRh
Method: DFT, PBE
State: relaxed

Unit cell a=8.462 b=8.462 c=5.197 alpha=90.00 beta=90.00 gamma=90.00
Space group I-42d (No. 122)
Unique sites:
Mg 0.151 0.750 0.125 (multiplicity 8)
Sn 0.000 0.000 0.500 (multiplicity 4)
Rh 0.000 0.000 0.000 (multiplicity 4)

Calculated values
- energy relative to the elements (eV/atom) = -0.095